1.
LiAcTlPd3 | PBE | optimized geometry

Cell lengths 6.969, 6.969, 6.993 Å; angles 90.00, 90.00, 129.82 degrees
Fractional positions:
Li 0.074 0.926 0.750
Li 0.926 0.074 0.250
Ac 0.329 0.671 0.750
Ac 0.671 0.329 0.250
Tl 0.363 0.637 0.250
Tl 0.637 0.363 0.750
Pd 0.142 0.858 0.250
Pd 0.251 0.251 0.000
Pd 0.251 0.251 0.500
Pd 0.749 0.749 0.000
Pd 0.749 0.749 0.500
Pd 0.858 0.142 0.750

## Properties
Its space-group type is Cmcm.

***

2.
Li2AcTlPd | PBE | optimized geometry

Cell lengths 4.182, 4.264, 13.346 Å; angles 90.00, 90.00, 90.00 degrees
Fractional positions:
Li 0.000 0.000 0.000
Li 0.000 0.500 0.155
Li 0.500 0.000 0.655
Li 0.500 0.500 0.500
Ac 0.000 0.500 0.785
Ac 0.500 0.000 0.285
Tl 0.000 0.000 0.517
Tl 0.500 0.500 0.017
Pd 0.000 0.500 0.355
Pd 0.500 0.000 0.855

## Properties
Its space-group type is Imm2.

***

3.
LiAcTlPd | PBE | optimized geometry

Cell lengths 8.262, 4.771, 5.763 Å; angles 90.00, 118.96, 90.00 degrees
Fractional positions:
Li 0.000 0.000 0.000
Li 0.500 0.500 0.000
Ac 0.200 0.000 0.603
Ac 0.700 0.500 0.603
Tl 0.194 0.500 0.082
Tl 0.694 0.000 0.082
Pd 0.412 0.000 0.235
Pd 0.912 0.500 0.235

## Properties
Its space-group type is Cm. The distance to the lowest polymorph of the same formula is 0 kJ/mol of formula units.

***

4.
LiAc2Tl6Pd | PBE | optimized geometry

Cell lengths 7.253, 7.366, 7.487 Å; angles 61.96, 61.09, 60.56 degrees
Fractional positions:
Li 0.000 0.000 0.000
Ac 0.237 0.253 0.274
Ac 0.763 0.747 0.726
Tl 0.242 0.750 0.765
Tl 0.248 0.238 0.770
Tl 0.256 0.763 0.230
Tl 0.744 0.237 0.770
Tl 0.752 0.762 0.230
Tl 0.758 0.250 0.235
Pd 0.500 0.500 0.500

## Properties
Its space-group type is P-1.

***

| no. | energy relative to the elements (eV/atom) | density of states at the Fermi level (states/eV/atom) |
| --- | --- | --- |
| 1 | -0.44 | 0.498 |
| 2 | -0.39 | 0.460 |
| 3 | -0.43 | 1.026 |
| 4 | -0.18 | 0.543 |